[1]
Here is an optimized crystal structure of YCdH2 from the Alexandria database. Energies are from GGA-PBE.

Unit cell a=4.7931 b=4.7931 c=6.5570 alpha=68.56 beta=68.56 gamma=90.00
With the nearest neighbours (Å) after each atom.
Fractional positions:
Y (0.5000, 0.5000, 0.0000)  4 H 2.06
Y (0.2500, 0.7500, 0.5000)  4 H 2.06
H (0.5682, 0.1250, 0.2500)  2 Y 2.06
H (0.1818, 0.6250, 0.2500)  2 Y 2.06
H (0.3750, 0.4318, 0.7500)  2 Y 2.06
H (0.8750, 0.8182, 0.7500)  2 Y 2.06
Cd (0.0000, 0.0000, 0.0000)  4 H 2.36
Cd (0.7500, 0.2500, 0.5000)  4 H 2.36

Results
- Fermi-level density of states (states/eV/f.u.) = 1.12
- spin magnetization (Bohr magnetons per cell) = 0.00
- raw total energy (eV/atom) = -3.681
- energy above the lowest structure with this stoichiometry (eV/f.u.) = 0.00

=====

[2]
Here is an optimized crystal structure of YCd3H from the Alexandria database. Energies are from GGA-PBE.

Unit cell a=4.6596 b=4.6596 c=4.6596 alpha=90.00 beta=90.00 gamma=90.00
With the nearest neighbours (Å) after each atom.
Fractional positions:
Y (0.5000, 0.5000, 0.5000)  12 Cd 3.29
H (0.0000, 0.0000, 0.0000)  6 Cd 2.33
Cd (0.0000, 0.5000, 0.0000)  2 H 2.33
Cd (0.0000, 0.0000, 0.5000)  2 H 2.33
Cd (0.5000, 0.0000, 0.0000)  2 H 2.33

Results
- Fermi-level density of states (states/eV/f.u.) = 4.08
- spin magnetization (Bohr magnetons per cell) = 0.00
- raw total energy (eV/atom) = -2.416

=====

[3]
Here is an optimized crystal structure of YCdH2 from the Alexandria database. Energies are from GGA-PBE.

Unit cell a=4.2632 b=4.2632 c=4.2632 alpha=60.00 beta=60.00 gamma=60.00
With the nearest neighbours (Å) after each atom.
Fractional positions:
Y (0.0000, 0.0000, 0.0000)  8 H 2.61
H (0.2500, 0.2500, 0.2500)  4 Cd 2.61, 4 Y 2.61
H (0.7500, 0.7500, 0.7500)  4 Cd 2.61, 4 Y 2.61
Cd (0.5000, 0.5000, 0.5000)  8 H 2.61

Results
- Fermi-level density of states (states/eV/f.u.) = 1.68
- spin magnetization (Bohr magnetons per cell) = 0.00
- raw total energy (eV/atom) = -3.549
- energy above the lowest structure with this stoichiometry (eV/f.u.) = 0.53

=====

[4]
Here is an optimized crystal structure of Y3CdH from the Alexandria database. Energies are from GGA-PBE.

Unit cell a=4.8733 b=4.8733 c=4.8733 alpha=90.00 beta=90.00 gamma=90.00
With the nearest neighbours (Å) after each atom.
Fractional positions:
Y (0.0000, 0.5000, 0.0000)  2 H 2.44
Y (0.0000, 0.0000, 0.5000)  2 H 2.44
Y (0.5000, 0.0000, 0.0000)  2 H 2.44
H (0.0000, 0.0000, 0.0000)  6 Y 2.44
Cd (0.5000, 0.5000, 0.5000)  12 Y 3.45

Results
- Fermi-level density of states (states/eV/f.u.) = 3.47
- spin magnetization (Bohr magnetons per cell) = 1.96
- raw total energy (eV/atom) = -4.967
- energy above the lowest structure with this stoichiometry (eV/f.u.) = 0.00

=====

[5]
Here is an optimized crystal structure of YCdH from the Alexandria database. Energies are from GGA-PBE.

Unit cell a=4.4778 b=6.6581 c=7.6203 alpha=106.74 beta=90.00 gamma=90.00
With the nearest neighbours (Å) after each atom.
Fractional positions:
Y (0.7500, 0.8404, 0.3350)  4 H 2.23-2.40
Y (0.7500, 0.8404, 0.8350)  4 H 2.23-2.40
Y (0.2500, 0.1596, 0.1650)  4 H 2.23-2.40
Y (0.2500, 0.1596, 0.6650)  4 H 2.23-2.40
H (0.7501, 0.0238, 0.1313)  4 Y 2.23-2.40
H (0.7499, 0.0238, 0.6313)  4 Y 2.23-2.40
H (0.2501, 0.9762, 0.3687)  4 Y 2.23-2.40
H (0.2499, 0.9762, 0.8687)  4 Y 2.23-2.40
Cd (0.2500, 0.6274, 0.0311)  2 Cd 2.77, 2 H 2.93
Cd (0.2500, 0.6274, 0.5311)  2 Cd 2.77, 2 H 2.93
Cd (0.7500, 0.3726, 0.4689)  2 Cd 2.77, 2 H 2.93
Cd (0.7500, 0.3726, 0.9689)  2 Cd 2.77, 2 H 2.93

Results
- Fermi-level density of states (states/eV/f.u.) = 1.66
- spin magnetization (Bohr magnetons per cell) = 0.00
- raw total energy (eV/atom) = -4.017
- energy above the lowest structure with this stoichiometry (eV/f.u.) = 0.16

=====

[6]
Here is an optimized crystal structure of YZr2CdH from the Alexandria database. Energies are from GGA-PBE.

Unit cell a=4.5355 b=4.5355 c=4.7416 alpha=90.00 beta=90.00 gamma=90.00
With the nearest neighbours (Å) after each atom.
Fractional positions:
Y (0.0000, 0.0000, 0.5000)  2 H 2.37
H (0.0000, 0.0000, 0.0000)  4 Zr 2.27, 2 Y 2.37
Zr (0.0000, 0.5000, 0.0000)  2 H 2.27
Zr (0.5000, 0.0000, 0.0000)  2 H 2.27
Cd (0.5000, 0.5000, 0.5000)  4 Y 3.21, 8 Zr 3.28

Results
- Fermi-level density of states (states/eV/f.u.) = 6.02
- spin magnetization (Bohr magnetons per cell) = 0.00
- raw total energy (eV/atom) = -5.748

=====

[7]
Here is an optimized crystal structure of ZnCd2H from the Alexandria database. Energies are from GGA-PBE.

Unit cell a=4.6047 b=4.6047 c=4.6047 alpha=60.00 beta=60.00 gamma=60.00
With the nearest neighbours (Å) after each atom.
Fractional positions:
H (0.0000, 0.0000, 0.0000)  8 Cd 2.82
Zn (0.5000, 0.5000, 0.5000)  8 Cd 2.82
Cd (0.2500, 0.2500, 0.2500)  4 H 2.82, 4 Zn 2.82
Cd (0.7500, 0.7500, 0.7500)  4 H 2.82, 4 Zn 2.82

Results
- Fermi-level density of states (states/eV/f.u.) = 1.55
- spin magnetization (Bohr magnetons per cell) = 0.00
- raw total energy (eV/atom) = -1.157
- energy above the lowest structure with this stoichiometry (eV/f.u.) = 0.38

=====

[8]
Here is an optimized crystal structure of ZnCdH from the Alexandria database. Energies are from GGA-PBE.

Unit cell a=3.1492 b=3.1492 c=5.1276 alpha=90.00 beta=90.00 gamma=120.00
With the nearest neighbours (Å) after each atom.
Fractional positions:
H (0.3333, 0.6667, 0.5164)  3 Zn 1.83
Zn (0.6667, 0.3333, 0.4850)  3 H 1.83
Cd (0.0000, 0.0000, 0.9985)  6 H 3.07-3.22, 6 Zn 3.09-3.20, 6 Cd 3.15

Results
- Fermi-level density of states (states/eV/f.u.) = 1.40
- spin magnetization (Bohr magnetons per cell) = 0.00
- raw total energy (eV/atom) = -1.542
- energy above the lowest structure with this stoichiometry (eV/f.u.) = 0.27

=====

[9]
Here is an optimized crystal structure of Zn2Cd2H from the Alexandria database. Energies are from GGA-PBE.

Unit cell a=8.1208 b=8.1208 c=2.8716 alpha=90.00 beta=90.00 gamma=90.00
With the nearest neighbours (Å) after each atom.
Fractional positions:
H (0.0000, 0.0000, 0.0000)  2 H 2.87
H (0.5000, 0.5000, 0.0000)  2 H 2.87
Zn (0.3886, 0.8886, 0.0000)  1 Zn 2.56, 2 Cd 2.69
Zn (0.8886, 0.6114, 0.0000)  1 Zn 2.56, 2 Cd 2.69
Zn (0.6114, 0.1114, 0.0000)  1 Zn 2.56, 2 Cd 2.69
Zn (0.1114, 0.3886, 0.0000)  1 Zn 2.56, 2 Cd 2.69
Cd (0.1901, 0.6901, 0.5000)  6 Zn 2.69-2.91, 2 Cd 2.87
Cd (0.6901, 0.8099, 0.5000)  6 Zn 2.69-2.91, 2 Cd 2.87
Cd (0.8099, 0.3099, 0.5000)  6 Zn 2.69-2.91, 2 Cd 2.87
Cd (0.3099, 0.1901, 0.5000)  6 Zn 2.69-2.91, 2 Cd 2.87

Results
- Fermi-level density of states (states/eV/f.u.) = 0.97
- spin magnetization (Bohr magnetons per cell) = 0.05
- raw total energy (eV/atom) = -1.101
- energy above the lowest structure with this stoichiometry (eV/f.u.) = 0.21

=====

[10]
Here is an optimized crystal structure of Zn5Cd3H12 from the Alexandria database. Energies are from GGA-PBE.

Unit cell a=10.5183 b=10.5183 c=10.5183 alpha=109.47 beta=109.47 gamma=109.47
With the nearest neighbours (Å) after each atom.
Fractional positions:
Cd (0.7500, 0.3750, 0.1250)  8 H 2.45-2.54
Cd (0.8750, 0.7500, 0.1250)  8 H 2.45-2.54
Cd (0.3750, 0.7500, 0.6250)  8 H 2.45-2.54
Cd (0.2500, 0.1250, 0.3750)  8 H 2.45-2.54
Cd (0.8750, 0.1250, 0.2500)  8 H 2.45-2.54
Cd (0.3750, 0.6250, 0.2500)  8 H 2.45-2.54
Cd (0.6250, 0.3750, 0.7500)  8 H 2.45-2.54
Cd (0.1250, 0.8750, 0.7500)  8 H 2.45-2.54
Cd (0.7500, 0.8750, 0.6250)  8 H 2.45-2.54
Cd (0.6250, 0.2500, 0.3750)  8 H 2.45-2.54
Cd (0.1250, 0.2500, 0.8750)  8 H 2.45-2.54
Cd (0.2500, 0.6250, 0.8750)  8 H 2.45-2.54
Zn (0.1250, 0.3750, 0.2500)  4 H 1.73
Zn (0.0000, 0.5000, 0.0000)  6 H 1.91
Zn (0.0000, 0.0000, 0.0000)  6 H 1.91
Zn (0.3750, 0.2500, 0.1250)  4 H 1.73
Zn (0.5000, 0.0000, 0.5000)  6 H 1.91
Zn (0.5000, 0.5000, 0.0000)  6 H 1.91
Zn (0.1250, 0.7500, 0.3750)  4 H 1.73
Zn (0.7500, 0.1250, 0.8750)  4 H 1.73
Zn (0.7500, 0.6250, 0.3750)  4 H 1.73
Zn (0.3750, 0.1250, 0.7500)  4 H 1.73
Zn (0.6250, 0.8750, 0.2500)  4 H 1.73
Zn (0.5000, 0.5000, 0.5000)  6 H 1.91
Zn (0.5000, 0.0000, 0.0000)  6 H 1.91
Zn (0.0000, 0.0000, 0.5000)  6 H 1.91
Zn (0.2500, 0.3750, 0.6250)  4 H 1.73
Zn (0.2500, 0.8750, 0.1250)  4 H 1.73
Zn (0.0000, 0.5000, 0.5000)  6 H 1.91
Zn (0.8750, 0.2500, 0.6250)  4 H 1.73
Zn (0.6250, 0.7500, 0.8750)  4 H 1.73
Zn (0.8750, 0.6250, 0.7500)  4 H 1.73
H (0.6907, 0.1039, 0.0051)  2 Zn 1.73-1.91
H (0.3144, 0.5051, 0.4012)  2 Zn 1.73-1.91
H (0.9949, 0.3961, 0.3093)  2 Zn 1.73-1.91
H (0.5051, 0.1907, 0.1039)  2 Zn 1.73-1.91
H (0.5868, 0.6907, 0.6856)  2 Zn 1.73-1.91
H (0.9949, 0.5988, 0.1856)  2 Zn 1.73-1.91
H (0.3144, 0.8093, 0.4132)  2 Zn 1.73-1.91
H (0.0988, 0.9132, 0.1039)  2 Zn 1.73-1.91
H (0.5988, 0.9949, 0.6856)  2 Zn 1.73-1.91
H (0.6907, 0.5868, 0.1856)  2 Zn 1.73-1.91
H (0.8093, 0.4949, 0.3961)  2 Zn 1.73-1.91
H (0.8144, 0.9012, 0.0051)  2 Zn 1.73-1.91
H (0.1039, 0.6907, 0.5051)  2 Zn 1.73-1.91
H (0.3961, 0.4012, 0.0868)  2 Zn 1.73-1.91
H (0.0868, 0.9012, 0.3961)  2 Zn 1.73-1.91
H (0.4132, 0.1039, 0.5988)  2 Zn 1.73-1.91
H (0.0868, 0.1856, 0.1907)  2 Zn 1.73-1.91
H (0.4949, 0.6856, 0.0988)  2 Zn 1.73-1.91
H (0.8144, 0.9132, 0.3093)  2 Zn 1.73-1.91
H (0.1039, 0.4132, 0.0988)  2 Zn 1.73-1.91
H (0.3961, 0.9949, 0.8093)  2 Zn 1.73-1.91
H (0.5988, 0.6039, 0.4132)  2 Zn 1.73-1.91
H (0.9012, 0.8144, 0.5051)  2 Zn 1.73-1.91
H (0.8093, 0.3144, 0.9132)  2 Zn 1.73-1.91
H (0.4012, 0.3961, 0.5868)  2 Zn 1.73-1.91
H (0.0988, 0.1856, 0.4949)  2 Zn 1.73-1.91
H (0.1907, 0.6856, 0.0868)  2 Zn 1.73-1.91
H (0.1856, 0.0868, 0.6907)  2 Zn 1.73-1.91
H (0.6039, 0.0051, 0.1907)  2 Zn 1.73-1.91
H (0.8961, 0.5868, 0.9012)  2 Zn 1.73-1.91
H (0.5051, 0.3144, 0.9012)  2 Zn 1.73-1.91
H (0.5868, 0.8961, 0.4012)  2 Zn 1.73-1.91
H (0.9132, 0.8144, 0.8093)  2 Zn 1.73-1.91
H (0.9132, 0.0988, 0.6039)  2 Zn 1.73-1.91
H (0.8961, 0.3093, 0.4949)  2 Zn 1.73-1.91
H (0.1856, 0.0988, 0.9949)  2 Zn 1.73-1.91
H (0.6039, 0.5988, 0.9132)  2 Zn 1.73-1.91
H (0.4012, 0.0051, 0.3144)  2 Zn 1.73-1.91
H (0.3093, 0.4132, 0.8144)  2 Zn 1.73-1.91
H (0.1907, 0.5051, 0.6039)  2 Zn 1.73-1.91
H (0.9012, 0.0868, 0.8961)  2 Zn 1.73-1.91
H (0.6856, 0.1907, 0.5868)  2 Zn 1.73-1.91
H (0.4949, 0.8093, 0.8961)  2 Zn 1.73-1.91
H (0.0051, 0.4012, 0.8144)  2 Zn 1.73-1.91
H (0.4132, 0.3093, 0.3144)  2 Zn 1.73-1.91
H (0.0051, 0.6039, 0.6907)  2 Zn 1.73-1.91
H (0.6856, 0.4949, 0.5988)  2 Zn 1.73-1.91
H (0.3093, 0.8961, 0.9949)  2 Zn 1.73-1.91

Results
- Fermi-level density of states (states/eV/f.u.) = 7.01
- spin magnetization (Bohr magnetons per cell) = 0.00
- raw total energy (eV/atom) = -2.121

=====

[11]
Here is an optimized crystal structure of ZnCdH3 from the Alexandria database. Energies are from GGA-PBE.

Unit cell a=3.7433 b=3.7433 c=3.7433 alpha=90.00 beta=90.00 gamma=90.00
With the nearest neighbours (Å) after each atom.
Fractional positions:
H (0.0000, 0.5000, 0.0000)  2 Zn 1.87
H (0.0000, 0.0000, 0.5000)  2 Zn 1.87
H (0.5000, 0.0000, 0.0000)  2 Zn 1.87
Zn (0.0000, 0.0000, 0.0000)  6 H 1.87
Cd (0.5000, 0.5000, 0.5000)  12 H 2.65

Results
- Fermi-level density of states (states/eV/f.u.) = 0.97
- spin magnetization (Bohr magnetons per cell) = 0.00
- raw total energy (eV/atom) = -1.986
- energy above the lowest structure with this stoichiometry (eV/f.u.) = 0.00

=====

[12]
Here is an optimized crystal structure of ZnCd2H2 from the Alexandria database. Energies are from GGA-PBE.

Unit cell a=5.6368 b=5.6368 c=4.5073 alpha=90.00 beta=90.00 gamma=90.00
With the nearest neighbours (Å) after each atom.
Fractional positions:
H (0.2256, 0.7256, 0.0000)  2 Zn 2.00
H (0.7256, 0.7744, 0.0000)  2 Zn 2.00
H (0.7744, 0.2744, 0.0000)  2 Zn 2.00
H (0.2744, 0.2256, 0.0000)  2 Zn 2.00
Zn (0.0000, 0.0000, 0.0000)  4 H 2.00
Zn (0.5000, 0.5000, 0.0000)  4 H 2.00
Cd (0.1800, 0.6800, 0.5000)  2 H 2.28
Cd (0.6800, 0.8200, 0.5000)  2 H 2.28
Cd (0.8200, 0.3200, 0.5000)  2 H 2.28
Cd (0.3200, 0.1800, 0.5000)  2 H 2.28

Results
- Fermi-level density of states (states/eV/f.u.) = 0.98
- spin magnetization (Bohr magnetons per cell) = 0.00
- raw total energy (eV/atom) = -1.670
- energy above the lowest structure with this stoichiometry (eV/f.u.) = 0.00

=====

What did the second record say?
Here is an optimized crystal structure of YCd3H from the Alexandria database. Energies are from GGA-PBE.

Unit cell a=4.6596 b=4.6596 c=4.6596 alpha=90.00 beta=90.00 gamma=90.00
With the nearest neighbours (Å) after each atom.
Fractional positions:
Y (0.5000, 0.5000, 0.5000)  12 Cd 3.29
H (0.0000, 0.0000, 0.0000)  6 Cd 2.33
Cd (0.0000, 0.5000, 0.0000)  2 H 2.33
Cd (0.0000, 0.0000, 0.5000)  2 H 2.33
Cd (0.5000, 0.0000, 0.0000)  2 H 2.33

Results
- Fermi-level density of states (states/eV/f.u.) = 4.08
- spin magnetization (Bohr magnetons per cell) = 0.00
- raw total energy (eV/atom) = -2.416

=====

Q: Among the records above, which one has the highest Fermi-level density of states?
A: Zn5Cd3H12

=====

Q: Which value of Fermi-level density of states does entry 3 give?
A: 1.68 states/eV/f.u.